# Th3C2Cl GGA-PBE optimized geometry
data_Th3C2Cl
_chemical_formula_sum 'Th6 C4 Cl2'
_cell_length_a 3.7821
_cell_length_b 3.7821
_cell_length_c 20.8036
_cell_angle_alpha 90.00
_cell_angle_beta 90.00
_cell_angle_gamma 120.00
_space_group_name_H-M_alt 'P 63/m m c'
_space_group_IT_number 194
_space_group_name_Hall '-P 6c 2c'
loop_
_atom_site_label
_atom_site_fract_x
_atom_site_fract_y
_atom_site_fract_z
_atom_site_occupancy
Th1 0.0000 0.0000 0.0000 1
Th2 0.3333 0.6667 0.1390 1
C1 0.3333 0.6667 0.5806 1
Cl1 0.0000 0.0000 0.2500 1
# formation energy from raw total energies: -739 meV per atom

# PuMgIn4 GGA-PBE optimized geometry
data_PuMgIn4
_chemical_formula_sum 'Pu2 Mg2 In8'
_cell_length_a 4.804
_cell_length_b 12.884
_cell_length_c 4.939
_cell_angle_alpha 90.00
_cell_angle_beta 90.00
_cell_angle_gamma 90.00
_space_group_name_H-M_alt 'C m m m'
_space_group_IT_number 65
_space_group_name_Hall '-C 2 2'
loop_
_atom_site_label
_atom_site_fract_x
_atom_site_fract_y
_atom_site_fract_z
_atom_site_occupancy
Pu1 0.000 0.000 0.000 1
Mg1 0.000 0.500 0.500 1
In1 0.000 0.161 0.500 1
In2 0.000 0.328 0.000 1
# E above lowest polymorph: 27.3 meV/atom
# formation energy: -0.490 eV per formula unit

# UAl3Pd12 GGA-PBE optimized geometry
data_UAl3Pd12
_chemical_formula_sum 'U1 Al3 Pd12'
_cell_length_a 3.990
_cell_length_b 3.990
_cell_length_c 15.686
_cell_angle_alpha 90.00
_cell_angle_beta 90.00
_cell_angle_gamma 90.00
_space_group_name_H-M_alt 'P 4/m m m'
_space_group_IT_number 123
_space_group_name_Hall '-P 4 2'
loop_
_atom_site_label
_atom_site_fract_x
_atom_site_fract_y
_atom_site_fract_z
_atom_site_occupancy
U1 0.000 0.000 0.000 1
Al1 0.000 0.000 0.265 1
Al2 0.000 0.000 0.500 1
Pd1 0.000 0.500 0.131 1
Pd2 0.000 0.500 0.379 1
Pd3 0.500 0.500 0.000 1
Pd4 0.500 0.500 0.255 1
Pd5 0.500 0.500 0.500 1
# formation energy: -9.581 eV per formula unit

# LiMg2Ga2 GGA-PBE optimized geometry
data_LiMg2Ga2
_chemical_formula_sum 'Li2 Mg4 Ga4'
_cell_length_a 4.199
_cell_length_b 4.199
_cell_length_c 12.337
_cell_angle_alpha 90.00
_cell_angle_beta 90.00
_cell_angle_gamma 90.00
_space_group_name_H-M_alt 'I 4/m m m'
_space_group_IT_number 139
_space_group_name_Hall '-I 4 2'
loop_
_atom_site_label
_atom_site_fract_x
_atom_site_fract_y
_atom_site_fract_z
_atom_site_occupancy
Li1 0.000 0.000 0.000 1
Mg1 0.000 0.500 0.250 1
Ga1 0.000 0.000 0.401 1
# E above lowest polymorph: 100.5 meV/atom
# formation energy: -0.225 eV per formula unit